! PBE Pm2NdErSe4, relaxed; values from VASP
&SYSTEM
  ibrav = 0, nat = 8, ntyp = 4
/
ATOMIC_SPECIES
Pm 145.00 Pm.upf
Se 78.96 Se.upf
Nd 144.24 Nd.upf
Er 167.26 Er.upf
CELL_PARAMETERS angstrom
4.108 0.000 0.000
0.000 7.221 -0.177
0.000 2.511 6.840
ATOMIC_POSITIONS crystal
Pm 0.500 0.000 0.500
Se 0.500 0.740 0.262
Nd 0.500 0.500 0.000
Se 0.000 0.747 0.743
Er 0.000 0.500 0.500
Pm 0.000 0.000 0.000
Se 0.000 0.253 0.257
Se 0.500 0.260 0.738
! DOS(E_F)	4.660	states/eV/f.u.
! electronic total energy	-5.892	eV/atom